# 1
LiAcZnN2 | PBE-GGA | relaxed

Results
Total DFT energy (no corrections)   -5.35 eV per atom
Space-group type   P2/c, No. 13
Uncorrected formation energy   -0.5559 eV per atom

Unit cell a=4.054 b=5.831 c=6.755 alpha=93.93 beta=90.00 gamma=90.00
Fractional positions:
1 Li 0.452 0.000 0.250
2 Li 0.548 0.000 0.750
3 Ac 0.249 0.500 0.750
4 Ac 0.751 0.500 0.250
5 Zn 0.000 0.000 0.000
6 Zn 0.000 0.000 0.500
7 N 0.737 0.744 0.925
8 N 0.737 0.256 0.575
9 N 0.263 0.744 0.425
10 N 0.263 0.256 0.075


# 2
NaLi2Ac | PBE-GGA | relaxed

Results
Total DFT energy (no corrections)   -2.18 eV per atom
Space-group type   R3m, No. 160
Energy relative to the elements   138.5 meV/atom
ΔE to the lowest computed polymorph   33 meV per atom

Unit cell a=3.705 b=3.705 c=11.526 alpha=80.75 beta=80.75 gamma=60.00
Fractional positions:
1 Na 0.667 0.667 0.999
2 Li 0.080 0.080 0.760
3 Li 0.253 0.253 0.241
4 Ac 0.500 0.500 0.501


# 3
NaLi2Ac | PBE-GGA | relaxed

Results
Total DFT energy (no corrections)   -2.21 eV per atom
Space-group type   P4/mmm, No. 123
Energy relative to the elements   105.8 meV/atom
ΔE to the lowest computed polymorph   0 meV per atom

Unit cell a=3.790 b=3.790 c=8.621 alpha=90.00 beta=90.00 gamma=90.00
Fractional positions:
1 Na 0.500 0.500 0.500
2 Ac 0.500 0.500 0.000
3 Li 0.000 0.000 0.722
4 Li 0.000 0.000 0.278


# 4
NaLi10Ac | PBE-GGA | relaxed

Results
Total DFT energy (no corrections)   -1.97 eV per atom
Space-group type   Pmmm, No. 47
Energy relative to the elements   81.8 meV/atom

Unit cell a=4.748 b=6.019 c=10.441 alpha=90.00 beta=90.00 gamma=90.00
Fractional positions:
1 Na 0.000 0.500 0.500
2 Li 0.000 0.000 0.341
3 Li 0.000 0.500 0.823
4 Li 0.000 0.500 0.177
5 Li 0.000 0.000 0.659
6 Li 0.500 0.000 0.500
7 Li 0.500 0.500 0.000
8 Li 0.500 0.248 0.252
9 Li 0.500 0.752 0.748
10 Li 0.500 0.752 0.252
11 Li 0.500 0.248 0.748
12 Ac 0.000 0.000 0.000


# 5
NaLi4Ac | PBE-GGA | relaxed

Results
Total DFT energy (no corrections)   -2.07 eV per atom
Space-group type   F-43m, No. 216
Energy relative to the elements   111.3 meV/atom

Unit cell a=6.127 b=6.127 c=6.127 alpha=60.00 beta=60.00 gamma=60.00
Last column: magnetic moment on the atom in μB.
Fractional positions:
1 Na 0.250 0.250 0.250  0.01
2 Ac 0.000 0.000 0.000  0.07
3 Li 0.623 0.623 0.130  0.01
4 Li 0.623 0.130 0.623  0.01
5 Li 0.623 0.623 0.623  0.01
6 Li 0.130 0.623 0.623  0.01


# 6
NaLi2Ac | PBE-GGA | relaxed

Results
Total DFT energy (no corrections)   -2.09 eV per atom
Space-group type   Fm-3m, No. 225
Energy relative to the elements   223.5 meV/atom
ΔE to the lowest computed polymorph   118 meV per atom

Unit cell a=5.638 b=5.638 c=5.638 alpha=60.00 beta=60.00 gamma=60.00
Fractional positions:
1 Na 0.500 0.500 0.500
2 Ac 0.000 0.000 0.000
3 Li 0.250 0.250 0.250
4 Li 0.750 0.750 0.750


# 7
NaLi2Ac | PBE-GGA | relaxed

Results
Total DFT energy (no corrections)   -2.18 eV per atom
Space-group type   R-3m, No. 166
Energy relative to the elements   136.3 meV/atom
ΔE to the lowest computed polymorph   31 meV per atom

Unit cell a=3.712 b=3.712 c=11.492 alpha=80.71 beta=80.71 gamma=60.00
Fractional positions:
1 Na 0.500 0.500 0.500
2 Ac 0.000 0.000 0.000
3 Li 0.753 0.753 0.741
4 Li 0.247 0.247 0.259


# 8
Na3LiAc3O8 | PBE-GGA | relaxed

Results
Total DFT energy (no corrections)   -5.86 eV per atom
Space-group type   P-1, No. 2
Uncorrected formation energy   -2.0031 eV per atom

Unit cell a=7.340 b=7.404 c=7.062 alpha=121.97 beta=89.84 gamma=120.22
Last column: magnetic moment on the atom in μB.
Fractional positions:
1 Na 0.000 0.000 0.000  0.00
2 Na 0.000 0.500 0.000  0.00
3 Na 0.500 0.500 0.000  0.00
4 Li 0.000 0.000 0.500  -0.01
5 Ac 0.500 0.000 0.500  0.14
6 Ac 0.500 0.500 0.500  0.10
7 Ac 0.000 0.500 0.500  0.01
8 O 0.246 0.500 0.263  0.08
9 O 0.754 0.500 0.737  0.08
10 O 0.757 0.549 0.303  0.35
11 O 0.243 0.451 0.697  0.35
12 O 0.755 0.009 0.289  0.36
13 O 0.245 0.991 0.711  0.36
14 O 0.251 0.996 0.278  0.38
15 O 0.749 0.004 0.722  0.38


# 9
Na4LiAc3O8 | PBE-GGA | relaxed

Results
Total DFT energy (no corrections)   -5.78 eV per atom
Space-group type   C2/m, No. 12
Uncorrected formation energy   -2.0853 eV per atom

Unit cell a=7.249 b=7.018 c=7.418 alpha=120.63 beta=119.25 gamma=90.00
Last column: magnetic moment on the atom in μB.
Fractional positions:
1 Na 0.500 0.000 0.000  0.00
2 Na 0.500 0.000 0.500  0.00
3 Na 0.000 0.000 0.000  0.00
4 Na 0.000 0.000 0.500  0.00
5 Li 0.000 0.500 0.000  0.00
6 Ac 0.500 0.500 0.000  0.09
7 Ac 0.500 0.500 0.500  0.03
8 Ac 0.000 0.500 0.500  0.03
9 O 0.241 0.720 0.980  0.24
10 O 0.261 0.744 0.521  0.22
11 O 0.258 0.267 0.516  0.09
12 O 0.739 0.720 0.980  0.24
13 O 0.261 0.280 0.020  0.24
14 O 0.742 0.733 0.484  0.09
15 O 0.739 0.256 0.479  0.22
16 O 0.759 0.280 0.020  0.24


# 10
NaLiAcPb2 | PBE-GGA | relaxed

Results
Total DFT energy (no corrections)   -3.27 eV per atom
Space-group type   I-4m2, No. 119
Energy relative to the elements   -314.4 meV/atom

Unit cell a=4.707 b=4.707 c=7.664 alpha=107.88 beta=107.88 gamma=90.00
Fractional positions:
1 Na 0.750 0.250 0.500
2 Li 0.250 0.750 0.500
3 Ac 0.000 0.000 0.000
4 Pb 0.609 0.609 0.219
5 Pb 0.391 0.391 0.781


# 11
NaLiAcPb | PBE-GGA | relaxed

Results
Total DFT energy (no corrections)   -2.96 eV per atom
Space-group type   F-43m, No. 216
Energy relative to the elements   -197.7 meV/atom

Unit cell a=5.572 b=5.572 c=5.572 alpha=60.00 beta=60.00 gamma=60.00
Fractional positions:
1 Pb 0.750 0.750 0.750
2 Na 0.250 0.250 0.250
3 Ac 0.500 0.500 0.500
4 Li 0.000 0.000 0.000


# 12
NaLi2AcPb2 | PBE-GGA | relaxed

Results
Total DFT energy (no corrections)   -3.11 eV per atom
Space-group type   P-3m1, No. 164
Energy relative to the elements   -334.8 meV/atom

Unit cell a=4.996 b=4.996 c=7.682 alpha=90.00 beta=90.00 gamma=120.00
Fractional positions:
1 Na 0.000 0.000 0.000
2 Li 0.333 0.667 0.832
3 Li 0.667 0.333 0.168
4 Ac 0.000 0.000 0.500
5 Pb 0.333 0.667 0.247
6 Pb 0.667 0.333 0.753


# 13
NaLiAcPt | PBE-GGA | relaxed

Results
Total DFT energy (no corrections)   -3.66 eV per atom
Space-group type   F-43m, No. 216
Energy relative to the elements   -318.9 meV/atom

Unit cell a=5.193 b=5.193 c=5.193 alpha=60.00 beta=60.00 gamma=60.00
Fractional positions:
1 Na 0.500 0.500 0.500
2 Ac 0.000 0.000 0.000
3 Pt 0.750 0.750 0.750
4 Li 0.250 0.250 0.250


# 14
NaLiAc2Se4 | PBE-GGA | relaxed

Results
Total DFT energy (no corrections)   -4.87 eV per atom
Space-group type   P2/m, No. 10
Uncorrected formation energy   -1.6989 eV per atom

Unit cell a=4.489 b=7.265 c=7.775 alpha=69.05 beta=90.00 gamma=90.00
Fractional positions:
1 Na 0.000 0.500 0.500
2 Li 0.500 0.500 0.000
3 Ac 0.000 0.000 0.000
4 Ac 0.500 0.000 0.500
5 Se 0.000 0.744 0.755
6 Se 0.000 0.256 0.245
7 Se 0.500 0.747 0.249
8 Se 0.500 0.253 0.751


# 15
NaLiAcSi | PBE-GGA | relaxed

Results
Total DFT energy (no corrections)   -3.27 eV per atom
Space-group type   F-43m, No. 216
Uncorrected formation energy   -0.0767 eV per atom

Unit cell a=5.254 b=5.254 c=5.254 alpha=60.00 beta=60.00 gamma=60.00
Fractional positions:
1 Na 0.250 0.250 0.250
2 Ac 0.000 0.000 0.000
3 Si 0.750 0.750 0.750
4 Li 0.500 0.500 0.500


# 16
NaLiAcSn | PBE-GGA | relaxed

Results
Total DFT energy (no corrections)   -3.10 eV per atom
Space-group type   F-43m, No. 216
Energy relative to the elements   -268.6 meV/atom

Unit cell a=5.507 b=5.507 c=5.507 alpha=60.00 beta=60.00 gamma=60.00
Fractional positions:
1 Na 0.750 0.750 0.750
2 Ac 0.000 0.000 0.000
3 Sn 0.250 0.250 0.250
4 Li 0.500 0.500 0.500


# 17
Na2Li2Ac3Sn4 | PBE-GGA | relaxed

Results
Total DFT energy (no corrections)   -3.58 eV per atom
Space-group type   P-3m1, No. 164
Energy relative to the elements   -412.0 meV/atom

Unit cell a=4.930 b=4.930 c=16.944 alpha=90.00 beta=90.00 gamma=120.00
Fractional positions:
1 Na 0.667 0.333 0.443
2 Na 0.333 0.667 0.557
3 Li 0.667 0.333 0.863
4 Li 0.333 0.667 0.137
5 Ac 0.000 0.000 0.746
6 Ac 0.000 0.000 0.000
7 Ac 0.000 0.000 0.254
8 Sn 0.667 0.333 0.122
9 Sn 0.333 0.667 0.878
10 Sn 0.667 0.333 0.642
11 Sn 0.333 0.667 0.358


# 18
NaLi3Ac2Sn4 | PBE-GGA | relaxed

Results
Total DFT energy (no corrections)   -3.61 eV per atom
Space-group type   P-4m2, No. 115
Energy relative to the elements   -480.8 meV/atom

Unit cell a=4.570 b=4.570 c=12.860 alpha=90.00 beta=90.00 gamma=90.00
Fractional positions:
1 Na 0.500 0.500 0.500
2 Li 0.000 0.000 0.500
3 Li 0.500 0.000 0.872
4 Li 0.000 0.500 0.128
5 Ac 0.500 0.000 0.228
6 Ac 0.000 0.500 0.772
7 Sn 0.500 0.500 0.000
8 Sn 0.000 0.000 0.000
9 Sn 0.500 0.000 0.661
10 Sn 0.000 0.500 0.339


# 19
NaSrLiAc | PBE-GGA | relaxed

Results
Total DFT energy (no corrections)   -2.10 eV per atom
Space-group type   F-43m, No. 216
Energy relative to the elements   157.2 meV/atom

Unit cell a=6.053 b=6.053 c=6.053 alpha=60.00 beta=60.00 gamma=60.00
Fractional positions:
1 Sr 0.250 0.250 0.250
2 Ac 0.750 0.750 0.750
3 Li 0.000 0.000 0.000
4 Na 0.500 0.500 0.500


# 20
NaLiAc2Tl4 | PBE-GGA | relaxed

Results
Total DFT energy (no corrections)   -2.91 eV per atom
Space-group type   R-3m, No. 166
Energy relative to the elements   -295.7 meV/atom

Unit cell a=5.591 b=5.591 c=9.646 alpha=73.15 beta=73.15 gamma=60.00
Fractional positions:
1 Na 0.000 0.000 0.000
2 Li 0.500 0.500 0.500
3 Ac 0.750 0.750 0.749
4 Ac 0.250 0.250 0.251
5 Tl 0.377 0.377 0.870
6 Tl 0.874 0.874 0.377
7 Tl 0.126 0.126 0.623
8 Tl 0.623 0.623 0.130


no.,mass density (g cm⁻³)
1,6.8
2,3.3
3,3.5
4,1.8
5,2.8
6,3.5
7,3.3
8,5.6
9,5.6
10,7.3
11,6.3
12,6.8
13,7.6
14,5.6
15,4.6
16,5.3
17,5.7
18,6.0
19,3.6
20,8.8